[1]
This record from Alexandria via LeMat-Bulk describes a relaxed structure of BIrRh. The functional is PBE-GGA.

The structure in CIF format:
```
data_BIrRh
_chemical_formula_sum 'B4 Ir4 Rh4'
_cell_length_a 9.0068
_cell_length_b 2.8357
_cell_length_c 5.6522
_cell_angle_alpha 90.00
_cell_angle_beta 90.00
_cell_angle_gamma 90.00
_space_group_name_H-M_alt 'P n m a'
_space_group_IT_number 62
loop_
_space_group_symop_operation_xyz
'x,y,z'
'-x,-y,-z'
'-x+1/2,-y,z+1/2'
'x+1/2,y,-z+1/2'
'x+1/2,-y+1/2,-z+1/2'
'-x+1/2,y+1/2,z+1/2'
'-x,y+1/2,-z'
'x,-y+1/2,z'
loop_
_atom_site_label
_atom_site_type_symbol
_atom_site_fract_x
_atom_site_fract_y
_atom_site_fract_z
B1 B 0.1940 0.2500 0.1422
Ir1 Ir 0.1168 0.7500 0.4072
Rh1 Rh 0.1145 0.7500 0.8872
```

Summary:
N(E_F)   10.8 states/eV/cell
Total energy   -7.87 eV/atom
Total moment   0.00 μB/f.u.
DFT formation energy   -0.238 eV per atom

=====

[2]
This record from Alexandria via LeMat-Bulk describes a relaxed structure of BIr2Rh. The functional is PBE-GGA.

The structure in CIF format:
```
data_BIr2Rh
_chemical_formula_sum 'B3 Ir6 Rh3'
_cell_length_a 3.8964
_cell_length_b 3.8964
_cell_length_c 12.2178
_cell_angle_alpha 90.00
_cell_angle_beta 90.00
_cell_angle_gamma 120.00
_space_group_name_H-M_alt 'R -3 m'
_space_group_IT_number 166
_space_group_name_Hall '-R 3 2"'
loop_
_atom_site_label
_atom_site_type_symbol
_atom_site_fract_x
_atom_site_fract_y
_atom_site_fract_z
B1 B 0.0000 0.0000 0.0000
Ir1 Ir 0.0000 0.0000 0.2793
Rh1 Rh 0.0000 0.0000 0.5000
```

Summary:
N(E_F)   10.1 states/eV/cell
Total energy   -7.55 eV/atom
Total moment   0.00 μB/f.u.
DFT formation energy   0.386 eV per atom

=====

[3]
This record from Alexandria via LeMat-Bulk describes a relaxed structure of B2Ir2Rh. The functional is PBE-GGA.

The structure in CIF format:
```
data_B2Ir2Rh
_chemical_formula_sum 'B4 Ir4 Rh2'
_cell_length_a 6.4158
_cell_length_b 6.4158
_cell_length_c 2.7052
_cell_angle_alpha 90.00
_cell_angle_beta 90.00
_cell_angle_gamma 90.00
_space_group_name_H-M_alt 'P 4/m b m'
_space_group_IT_number 127
_space_group_name_Hall '-P 4 2ab'
loop_
_atom_site_label
_atom_site_type_symbol
_atom_site_fract_x
_atom_site_fract_y
_atom_site_fract_z
B1 B 0.1509 0.3491 0.0000
Ir1 Ir 0.1512 0.6512 0.5000
Rh1 Rh 0.0000 0.0000 0.0000
```

Summary:
N(E_F)   7.1 states/eV/cell
Total energy   -7.66 eV/atom
Total moment   0.00 μB/f.u.
DFT formation energy   0.021 eV per atom
Energy above the most stable polymorph in this dataset   0.199 eV per atom

=====

[4]
This record from Alexandria via LeMat-Bulk describes a relaxed structure of B3Ir2Rh2. The functional is PBE-GGA.

The structure in CIF format:
```
data_B3Ir2Rh2
_chemical_formula_sum 'B6 Ir4 Rh4'
_cell_length_a 10.1217
_cell_length_b 3.3657
_cell_length_c 5.6513
_cell_angle_alpha 90.00
_cell_angle_beta 122.96
_cell_angle_gamma 90.00
_space_group_name_H-M_alt 'C 1 2/m 1'
_space_group_IT_number 12
loop_
_space_group_symop_operation_xyz
'x,y,z'
'-x,-y,-z'
'-x,y,-z'
'x,-y,z'
'x+1/2,y+1/2,z'
'-x+1/2,-y+1/2,-z'
'-x+1/2,y+1/2,-z'
'x+1/2,-y+1/2,z'
loop_
_atom_site_label
_atom_site_type_symbol
_atom_site_fract_x
_atom_site_fract_y
_atom_site_fract_z
B1 B 0.0000 0.0000 0.0000
B2 B 0.2458 0.0000 0.2452
Ir1 Ir 0.1240 0.5000 0.9519
Rh1 Rh 0.1358 0.0000 0.4820
```

Summary:
N(E_F)   10.7 states/eV/cell
Total energy   -7.68 eV/atom
Total moment   0.00 μB/f.u.
DFT formation energy   -0.181 eV per atom

=====

[5]
This record from Alexandria via LeMat-Bulk describes a relaxed structure of BIr2Rh. The functional is PBE-GGA.

The structure in CIF format:
```
data_BIr2Rh
_chemical_formula_sum 'B3 Ir6 Rh3'
_cell_length_a 2.7552
_cell_length_b 2.7552
_cell_length_c 23.1183
_cell_angle_alpha 90.00
_cell_angle_beta 90.00
_cell_angle_gamma 120.00
_space_group_name_H-M_alt 'R 3 m'
_space_group_IT_number 160
_space_group_name_Hall 'R 3 -2"'
loop_
_atom_site_label
_atom_site_type_symbol
_atom_site_fract_x
_atom_site_fract_y
_atom_site_fract_z
B1 B 0.0000 0.0000 0.0000
Ir1 Ir 0.0000 0.0000 0.4010
Ir2 Ir 0.0000 0.0000 0.6005
Rh1 Rh 0.0000 0.0000 0.8342
```

Summary:
N(E_F)   15.2 states/eV/cell
Total energy   -7.90 eV/atom
Total moment   0.50 μB/f.u.
DFT formation energy   0.039 eV per atom

=====

[6]
This record from Alexandria via LeMat-Bulk describes a relaxed structure of B4Ir5Rh. The functional is PBE-GGA.

The structure in CIF format:
```
data_B4Ir5Rh
_chemical_formula_sum 'B8 Ir10 Rh2'
_cell_length_a 15.6074
_cell_length_b 2.8564
_cell_length_c 5.7344
_cell_angle_alpha 90.00
_cell_angle_beta 111.21
_cell_angle_gamma 90.00
_space_group_name_H-M_alt 'C 1 2/m 1'
_space_group_IT_number 12
loop_
_space_group_symop_operation_xyz
'x,y,z'
'-x,-y,-z'
'-x,y,-z'
'x,-y,z'
'x+1/2,y+1/2,z'
'-x+1/2,-y+1/2,-z'
'-x+1/2,y+1/2,-z'
'x+1/2,-y+1/2,z'
loop_
_atom_site_label
_atom_site_type_symbol
_atom_site_fract_x
_atom_site_fract_y
_atom_site_fract_z
B1 B 0.0671 0.0000 0.3164
B2 B 0.1264 0.5000 0.8754
Ir1 Ir 0.0000 0.5000 0.5000
Ir2 Ir 0.1710 0.0000 0.1722
Ir3 Ir 0.1714 0.0000 0.6673
Rh1 Rh 0.0000 0.5000 0.0000
```

Summary:
N(E_F)   6.5 states/eV/cell
Total energy   -8.06 eV/atom
Total moment   0.00 μB/f.u.
DFT formation energy   -0.224 eV per atom

=====

- DFT formation energy of number 6 (B4Ir5Rh)?
  -0.224 eV per atom